Computed, not measured: a geometry-optimized Dy4Y3Tl4 structure at the PBE level of DFT.

POSCAR file:
```
Dy4Y3Tl4
1.0
-1.843 4.759 9.326
1.843 -4.759 9.326
1.843 4.759 -9.326
Dy Y Tl
4 3 4
Direct
0.025 0.836 0.189
0.352 0.164 0.189
0.648 0.836 0.811
0.975 0.164 0.811
0.000 0.500 0.500
0.403 0.403 0.000
0.597 0.597 0.000
0.268 0.768 0.500
0.279 0.000 0.279
0.721 0.000 0.721
0.732 0.232 0.500
```

Space-group type   Immm, No. 71
E_tot   -4.535 eV/atom